First-principles (PBE) data for an optimized crystal structure of HOs, as listed in the Alexandria database.

a b c (Å): 4.7641 2.7057 2.7883
angles (deg): 90.00 90.00 90.00
Positions (direct):
H: 0.5000 0.0000 0.0000
H: 0.0000 0.5000 0.0000
Os: 0.5000 0.5000 0.5000
Os: 0.0000 0.0000 0.5000

space-group type	Cmmm
E above lowest polymorph	0.313	eV/atom